The following is a PBE calculation of a relaxed CaMg2GeAu4 crystal, from Alexandria.

Unit cell a=4.7500 b=4.7500 c=24.3902 alpha=90.00 beta=90.00 gamma=120.00
Space group R-3m (No. 166, hexagonal axes)
Symmetry-distinct sites (fractional):
Ca: 0.0000 0.0000 0.0000
Mg: 0.0000 0.0000 0.2472
Ge: 0.0000 0.0000 0.5000
Au: 0.0000 0.0000 0.1257
Au: 0.0000 0.0000 0.3843

Computed properties:
The value obtained for the energy relative to the elements is -0.453 eV/atom. The calculation puts the uncorrected energy at -3.32 eV/atom.